Entry 1:
A geometry-optimized SiIr2Br structure, computed with PBE.

Cell: 5.305 5.305 11.934 Å, 90.00 90.00 90.00°
Space group I-42d (No. 122)
Symmetry-distinct sites (fractional):
Si 0.000 0.000 0.000 x4
Ir 0.210 0.250 0.125 x8
Br 0.000 0.000 0.500 x4

Results
ΔE_f (raw): 0.500 eV/atom
Distance to the lowest polymorph of the same formula: 550 meV/atom

Entry 2:
A geometry-optimized Cd2NiRh structure, computed with PBE.

Cell: 2.8904 2.8904 27.8575 Å, 90.00 90.00 120.00°
Space group R3m (No. 160, hexagonal axes)
Symmetry-distinct sites (fractional):
Cd 0.0000 0.0000 0.0000 x3
Cd 0.0000 0.0000 0.2324 x3
Ni 0.0000 0.0000 0.7461 x3
Rh 0.0000 0.0000 0.4816 x3

Results
ΔE_f: 0.135 eV/atom

Entry 3:
A geometry-optimized YPbSe2 structure, computed with PBE.

Cell: 6.964 6.964 12.251 Å, 90.00 90.00 90.00°
Space group I-42d (No. 122)
Symmetry-distinct sites (fractional):
Y 0.000 0.000 0.000 x4
Pb 0.000 0.000 0.500 x4
Se 0.211 0.250 0.125 x8

Results
ΔE_f (raw): -0.887 eV/atom

Entry 4:
A geometry-optimized Nb2SnTe structure, computed with PBE.

Cell: 4.260 4.260 19.899 Å, 90.00 90.00 90.00°
Space group I-42d (No. 122)
Symmetry-distinct sites (fractional):
Nb 0.247 0.250 0.125 x8
Sn 0.000 0.000 0.500 x4
Te 0.000 0.000 0.000 x4

Results
ΔE_f (raw): 0.380 eV/atom
Distance to the lowest polymorph of the same formula: 364 meV/atom

Entry 5:
A geometry-optimized CsMnBi2W structure, computed with PBE.

Cell: 5.504 5.504 5.297 Å, 90.00 90.00 90.00°
Space group P4/mmm (No. 123)
Symmetry-distinct sites (fractional):
Cs 0.000 0.000 0.000 x1
Mn 0.500 0.500 0.000 x1
Bi 0.000 0.500 0.500 x2
W 0.500 0.500 0.500 x1

Results
ΔE_f: 0.631 eV/atom

Entry 6:
A geometry-optimized NbHIrOs2 structure, computed with PBE.

Cell: 3.935 3.935 4.045 Å, 90.00 90.00 90.00°
Space group P4/mmm (No. 123)
Symmetry-distinct sites (fractional):
Nb 0.000 0.000 0.000 x1
H 0.000 0.000 0.500 x1
Ir 0.500 0.500 0.000 x1
Os 0.000 0.500 0.500 x2

Results
Energy: -0.6684 Ry/atom

Entry 7:
A geometry-optimized PaTi2Sb structure, computed with PBE.

Cell: 4.599 4.599 3.745 Å, 90.00 90.00 90.00°
Space group P4/mmm (No. 123)
Symmetry-distinct sites (fractional):
Pa 0.000 0.000 0.000 x1
Ti 0.000 0.500 0.500 x2
Sb 0.500 0.500 0.000 x1

Results
ΔE_f (raw): -0.296 eV/atom
Distance to the lowest polymorph of the same formula: 0 meV/atom

What did we get for D(E_F)? Answer: 15.2; 11.6; 15.0; 10.6; 2.7; 1.7; 5.9 states/eV per cell, in the order shown.